Computed, not measured: an optimized crystal structure of La2PrTmSe5 at the PBE-GGA level of DFT.

Uncorrected formation energy ... -1.48 eV per atom
Size of the total moment ... 0.0732 μB per atom
SG ... P4/mmm (123)
Final energy ... -5.54 eV/atom
DOS at the Fermi energy ... 6.192 states/eV per cell

Geometry as POSCAR:
```
La2PrTmSe5
1.0
5.076 0.000 0.000
0.000 5.076 0.000
0.000 0.000 11.009
La Pr Tm Se
2 1 1 5
Cartesian
0.000 0.000 2.055
0.000 0.000 8.953
2.538 2.538 5.504
2.538 2.538 0.000
0.000 0.000 5.504
0.000 2.538 0.000
2.538 0.000 0.000
2.538 2.538 2.729
2.538 2.538 8.279
```

=====

Computed, not measured: an optimized crystal structure of Ga2HgO4 at the PBE-GGA level of DFT.

Uncorrected formation energy ... -1.29 eV per atom
Energy above the lowest structure with this stoichiometry ... 0.082 eV per atom
Size of the total moment ... 0.0000 μB per atom
SG ... Pnma (62)
Final energy ... -5.03 eV/atom
DOS at the Fermi energy ... 7.769 states/eV per cell

Geometry as POSCAR:
```
Ga2HgO4
1.0
9.367 0.000 0.000
0.000 3.024 0.000
0.000 0.000 10.947
Ga Hg O
8 4 16
Cartesian
0.614 0.756 1.227
0.782 0.756 6.628
3.901 2.268 1.155
4.070 2.268 6.700
5.297 0.756 4.247
5.466 0.756 9.792
8.584 2.268 4.319
8.753 2.268 9.720
2.272 0.756 3.789
2.411 2.268 9.263
6.956 0.756 1.684
7.094 2.268 7.158
0.290 2.268 7.838
0.710 0.756 10.177
1.045 2.268 5.245
1.904 2.268 1.639
2.780 0.756 7.112
3.639 0.756 10.718
3.973 2.268 4.703
4.393 0.756 2.365
4.974 2.268 8.582
5.394 0.756 6.244
5.728 2.268 0.229
6.587 2.268 3.834
7.463 0.756 9.308
8.322 0.756 5.702
8.657 2.268 0.770
9.077 0.756 3.109
```

=====

Computed, not measured: an optimized crystal structure of ZnSeBr2 at the PBE-GGA level of DFT.

Uncorrected formation energy ... 0.44 eV per atom
Energy above the lowest structure with this stoichiometry ... 0.873 eV per atom
Size of the total moment ... 0.5057 μB per atom
SG ... Fm-3m (225)
Final energy ... -1.59 eV/atom
DOS at the Fermi energy ... 4.510 states/eV per cell

Geometry as POSCAR:
```
ZnSeBr2
1.0
7.284 0.000 0.000
0.000 7.284 0.000
0.000 0.000 7.284
Zn Se Br
4 4 8
Cartesian
0.000 0.000 0.000
0.000 3.642 3.642
3.642 0.000 3.642
3.642 3.642 0.000
0.000 0.000 3.642
0.000 3.642 0.000
3.642 0.000 0.000
3.642 3.642 3.642
1.821 1.821 1.821
1.821 1.821 5.463
1.821 5.463 1.821
1.821 5.463 5.463
5.463 1.821 1.821
5.463 1.821 5.463
5.463 5.463 1.821
5.463 5.463 5.463
```

=====

Computed, not measured: an optimized crystal structure of Si2AsOs at the PBE-GGA level of DFT.

Uncorrected formation energy ... 0.14 eV per atom
Size of the total moment ... 0.0000 μB per atom
SG ... P2/m (10)
Final energy ... -6.54 eV/atom
DOS at the Fermi energy ... 1.826 states/eV per cell

Geometry as POSCAR:
```
Si2AsOs
1.0
2.938 0.000 0.000
0.000 2.951 0.000
-0.022 0.000 7.000
Si As Os
2 1 1
Cartesian
-0.003 0.000 1.485
2.918 0.000 5.515
1.458 1.476 3.500
1.469 1.476 0.000
```

=====

Computed, not measured: an optimized crystal structure of CeGd2Fe at the PBE-GGA level of DFT.

Energy above the lowest structure with this stoichiometry ... 0.000 eV per atom
Size of the total moment ... 2.8255 μB per atom
Calculated formation energy ... 3.035 kcal/mol of atoms
SG ... P4/mmm (123)
Final energy ... -10.51 eV/atom
DOS at the Fermi energy ... 9.108 states/eV per cell

Geometry as POSCAR:
```
CeGd2Fe
1.0
3.414 0.000 0.000
0.000 3.414 0.000
0.000 0.000 8.859
Ce Gd Fe
1 2 1
Cartesian
0.000 0.000 0.000
1.707 1.707 2.769
1.707 1.707 6.090
0.000 0.000 4.429
```

=====

Computed, not measured: an optimized crystal structure of CdNiH at the PBE-GGA level of DFT.

Size of the total moment ... 0.0000 μB per atom
SG ... C2/m (12)
Final energy ... -3.33 eV/atom
DOS at the Fermi energy ... 4.447 states/eV per cell

Geometry as POSCAR:
```
CdNiH
1.0
4.974 0.000 0.000
0.000 3.004 0.000
-0.073 0.000 9.334
Cd Ni H
4 4 4
Cartesian
0.823 0.000 1.395
1.592 1.502 7.940
3.310 1.502 1.395
4.079 0.000 7.940
0.805 0.000 5.706
1.609 1.502 3.628
3.292 1.502 5.706
4.097 0.000 3.628
0.812 0.000 3.954
1.602 1.502 5.380
3.299 1.502 3.954
4.089 0.000 5.380
```

=====

Computed, not measured: an optimized crystal structure of Tb5Pm12Nd at the PBE-GGA level of DFT.

Size of the total moment ... 0.0000 μB per atom
Calculated formation energy ... 1.912 kcal/mol of atoms
SG ... C2/m (12)
Final energy ... -4.64 eV/atom
DOS at the Fermi energy ... 26.828 states/eV per cell

Geometry as POSCAR:
```
Tb5Pm12Nd
1.0
6.077 -8.552 0.000
6.077 8.552 0.000
-0.002 0.000 5.838
Tb Pm Nd
5 12 1
Cartesian
0.000 0.000 0.000
6.076 6.210 2.919
6.077 2.352 0.000
6.077 -2.352 0.000
6.076 -6.210 2.919
4.245 5.484 0.031
4.242 3.067 2.887
2.397 0.000 3.167
3.629 0.000 0.254
7.906 5.484 5.807
7.910 3.067 2.951
4.242 -3.067 2.887
4.245 -5.484 0.031
8.522 0.000 5.584
9.754 0.000 2.671
7.910 -3.067 2.951
7.906 -5.484 5.807
6.076 0.000 2.919
```

=====

Computed, not measured: an optimized crystal structure of MnCrCuAu at the PBE-GGA level of DFT.

Energy above the lowest structure with this stoichiometry ... 0.000 eV per atom
Size of the total moment ... 0.0148 μB per atom
Calculated formation energy ... 0.915 kcal/mol of atoms
SG ... Imm2 (44)
Final energy ... -6.50 eV/atom
DOS at the Fermi energy ... 4.312 states/eV per cell

Geometry as POSCAR:
```
MnCrCuAu
1.0
3.838 0.000 0.000
0.000 3.859 0.000
0.000 0.000 7.800
Mn Cr Cu Au
2 2 2 2
Cartesian
0.000 0.000 0.000
1.919 1.930 3.900
0.000 1.930 1.952
1.919 0.000 5.852
0.000 0.000 3.905
1.919 1.930 0.005
0.000 1.930 5.852
1.919 0.000 1.953
```

=====

Computed, not measured: an optimized crystal structure of La4PmEr3 at the PBE-GGA level of DFT.

Size of the total moment ... 0.0000 μB per atom
Calculated formation energy ... 0.681 kcal/mol of atoms
SG ... Pmmn (59)
Final energy ... -4.74 eV/atom
DOS at the Fermi energy ... 28.352 states/eV per cell

Geometry as POSCAR:
```
La4PmEr3
1.0
5.822 0.000 0.000
0.000 7.399 0.000
0.000 0.000 12.786
La Pm Er
8 2 6
Cartesian
1.456 0.006 2.191
1.456 1.850 11.600
1.456 3.693 2.191
1.456 5.549 11.626
4.367 1.850 1.160
4.367 3.706 10.595
4.367 5.549 1.186
4.367 7.393 10.595
1.456 1.850 5.386
4.367 5.549 7.400
1.456 0.005 8.409
1.456 3.695 8.409
1.456 5.549 5.365
4.367 1.850 7.421
4.367 3.704 4.377
4.367 7.394 4.377
```

=====

Computed, not measured: an optimized crystal structure of CsCaP2 at the PBE-GGA level of DFT.

Energy above the lowest structure with this stoichiometry ... 0.000 eV per atom
Size of the total moment ... 0.0000 μB per atom
Calculated formation energy ... -5.509 kcal/mol of atoms
SG ... I4_1/amd (141)
Final energy ... -3.66 eV/atom
DOS at the Fermi energy ... 6.611 states/eV per cell

Geometry as POSCAR:
```
CsCaP2
1.0
5.352 0.000 0.000
0.000 5.352 0.000
0.000 0.000 19.178
Cs Ca P
4 4 8
Cartesian
0.000 1.338 7.192
0.000 4.014 11.986
2.676 1.338 2.397
2.676 4.014 16.780
0.000 1.338 16.780
0.000 4.014 2.397
2.676 1.338 11.986
2.676 4.014 7.192
0.000 0.000 0.000
0.000 2.676 0.000
1.338 1.338 14.383
1.338 4.014 4.794
2.676 0.000 9.589
2.676 2.676 9.589
4.014 1.338 14.383
4.014 4.014 4.794
```

=====

Computed, not measured: an optimized crystal structure of DyY3Ho3Te8 at the PBE-GGA level of DFT.

Uncorrected formation energy ... -1.36 eV per atom
Size of the total moment ... 0.0000 μB per atom
SG ... R-3m (166)
Final energy ... -5.55 eV/atom
DOS at the Fermi energy ... 6.893 states/eV per cell

Geometry as POSCAR:
```
DyY3Ho3Te8
1.0
4.335 2.503 7.078
-4.335 2.503 7.078
0.000 -5.006 7.078
Dy Y Ho Te
1 3 3 8
Cartesian
0.000 0.000 0.000
-4.335 0.000 10.617
-2.168 1.251 3.539
2.168 1.251 3.539
-2.168 -1.251 7.078
-2.168 1.251 14.155
0.000 2.503 7.078
0.000 0.000 5.325
0.000 -2.438 8.876
-2.112 1.219 8.876
-2.112 -1.219 12.357
2.112 1.219 8.876
2.112 -1.219 12.357
0.000 2.438 12.357
0.000 0.000 15.909
```